DFT (PBE) results for a relaxed structure of SnHg3H4.

Calculated values
Final energy   -2.25 eV per atom
Space-group type   P-1 (2)

The structure in POSCAR format:
```
SnHg3H4
1.0
-1.899 2.266 -0.998
3.654 0.483 -4.409
-9.917 -8.184 3.948
H Hg Sn
4 3 1
Direct
0.305 0.180 0.629 H
0.669 0.668 0.359 H
0.695 0.820 0.371 H
0.331 0.332 0.641 H
0.754 0.816 0.663 Hg
0.246 0.184 0.337 Hg
0.500 0.000 0.000 Hg
0.000 0.500 0.000 Sn
```



DFT (PBE) results for a relaxed structure of SnHgH2.

Calculated values
Final energy   -2.36 eV per atom
Space-group type   R3m (160)

The structure in POSCAR format:
```
SnHgH2
1.0
3.563 0.000 0.485
1.748 3.104 0.485
0.935 0.546 6.463
Sn H Hg
1 2 1
Direct
0.171 0.171 0.488 Sn
0.543 0.543 0.372 H
0.797 0.797 0.610 H
0.001 0.001 0.998 Hg
```



DFT (PBE) results for a relaxed structure of SnHgH4.

Calculated values
Final energy   -2.73 eV per atom
Space-group type   C2/c (15)

The structure in POSCAR format:
```
SnHgH4
1.0
-1.931 6.247 1.898
-3.416 5.111 6.369
4.480 3.752 5.543
H Hg Sn
8 2 2
Direct
0.766 0.976 0.345 H
0.266 0.322 0.655 H
0.373 0.228 0.048 H
0.734 0.678 0.345 H
0.627 0.772 0.952 H
0.127 0.724 0.048 H
0.234 0.024 0.655 H
0.873 0.276 0.952 H
0.750 0.330 0.341 Hg
0.250 0.670 0.659 Hg
0.750 0.901 0.199 Sn
0.250 0.099 0.801 Sn
```



Which value of final energy does entry 2 give? -2.36 eV per atom



Copy entry 3 word for word.
DFT (PBE) results for a relaxed structure of SnHgH4.

Calculated values
Final energy   -2.73 eV per atom
Space-group type   C2/c (15)

The structure in POSCAR format:
```
SnHgH4
1.0
-1.931 6.247 1.898
-3.416 5.111 6.369
4.480 3.752 5.543
H Hg Sn
8 2 2
Direct
0.766 0.976 0.345 H
0.266 0.322 0.655 H
0.373 0.228 0.048 H
0.734 0.678 0.345 H
0.627 0.772 0.952 H
0.127 0.724 0.048 H
0.234 0.024 0.655 H
0.873 0.276 0.952 H
0.750 0.330 0.341 Hg
0.250 0.670 0.659 Hg
0.750 0.901 0.199 Sn
0.250 0.099 0.801 Sn
```



Number 2 is which compound? SnHgH2



Which of these has the lowest final energy? SnHgH4